Here is an optimized crystal structure of RhWO2F from Alexandria. Energies are from PBE+U.

Summary:
Total DFT energy (no corrections)   -26.87 eV/cell

```
data_RhWO2F
_chemical_formula_sum 'Rh1 W1 O2 F1'
_space_group_name_H-M_alt 'P 4/m m m'
_space_group_IT_number 123
_space_group_name_Hall '-P 4 2'
_cell_length_a 4.073
_cell_length_b 4.073
_cell_length_c 3.974
_cell_angle_alpha 90.00
_cell_angle_beta 90.00
_cell_angle_gamma 90.00
loop_
_atom_site_label
_atom_site_fract_x
_atom_site_fract_y
_atom_site_fract_z
Rh1 0.000 0.000 0.000
W1 0.500 0.500 0.500
O1 0.000 0.500 0.000
F1 0.000 0.000 0.500
```